No. 1
Material: TlAs2I
Method: DFT, PBE
State: relaxed

Output
Uncorrected formation energy: 0.550 eV/atom
DOS at the Fermi energy: 2.47 states/eV/cell
SG: I-42d, No. 122

Unit cell a=6.0623 b=6.0623 c=8.8246 alpha=69.91 beta=69.91 gamma=90.00
Atoms (fractional coordinates):
As1 0.8750 0.8775 0.7500
As2 0.3750 0.3725 0.7500
As3 0.6275 0.1250 0.2500
As4 0.1225 0.6250 0.2500
I1 0.5000 0.5000 0.0000
I2 0.2500 0.7500 0.5000
Tl1 0.7500 0.2500 0.5000
Tl2 0.0000 0.0000 0.0000


No. 2
Material: Tl3AsI
Method: DFT, PBE
State: relaxed

Output
Uncorrected formation energy: -0.027 eV/atom
DOS at the Fermi energy: 4.05 states/eV/cell
SG: Pm-3m, No. 221

Unit cell a=5.8756 b=5.8756 c=5.8756 alpha=90.00 beta=90.00 gamma=90.00
Atoms (fractional coordinates):
Tl1 0.0000 0.0000 0.5000
Tl2 0.5000 0.0000 0.0000
Tl3 0.0000 0.5000 0.0000
As1 0.0000 0.0000 0.0000
I1 0.5000 0.5000 0.5000


No. 3
Material: Tl4AsI2
Method: DFT, PBE
State: relaxed

Output
Uncorrected formation energy: -0.228 eV/atom
DOS at the Fermi energy: 5.34 states/eV/cell
SG: I4/mmm, No. 139

Unit cell a=5.7415 b=5.7415 c=10.1647 alpha=73.60 beta=73.60 gamma=90.00
Atoms (fractional coordinates):
Tl1 0.1632 0.1632 0.6736
Tl2 0.8368 0.8368 0.3264
Tl3 0.0000 0.5000 0.0000
Tl4 0.5000 0.0000 0.0000
I1 0.3707 0.3707 0.2586
I2 0.6293 0.6293 0.7414
As1 0.0000 0.0000 0.0000


No. 4
Material: TlAsWI2
Method: DFT, PBE
State: relaxed

Output
Uncorrected formation energy: 0.311 eV/atom
DOS at the Fermi energy: 1.36 states/eV/cell
SG: P4/mmm, No. 123

Unit cell a=5.8760 b=4.8363 c=5.8760 alpha=90.00 beta=90.00 gamma=90.00
Atoms (fractional coordinates):
Tl1 0.5000 0.5000 0.5000
I1 0.0000 0.0000 0.5000
I2 0.5000 0.0000 0.0000
W1 0.0000 0.0000 0.0000
As1 0.0000 0.5000 0.0000


No. 5
Material: UAsI
Method: DFT, PBE
State: relaxed

Output
Uncorrected formation energy: -0.396 eV/atom
DOS at the Fermi energy: 7.25 states/eV/cell
SG: P3m1, No. 156

Unit cell a=6.9367 b=4.2591 c=4.2591 alpha=120.00 beta=90.00 gamma=90.00
Atoms (fractional coordinates):
U1 0.9626 0.0000 0.0000
I1 0.2571 0.3333 0.6667
As1 0.7803 0.6667 0.3333


No. 6
Material: VAs3I
Method: DFT, PBE
State: relaxed

Output
Uncorrected formation energy: 0.204 eV/atom
DOS at the Fermi energy: 2.99 states/eV/cell
SG: Pm-3m, No. 221

Unit cell a=4.8309 b=4.8309 c=4.8309 alpha=90.00 beta=90.00 gamma=90.00
Atoms (fractional coordinates):
I1 0.5000 0.5000 0.5000
As1 0.0000 0.5000 0.0000
As2 0.0000 0.0000 0.5000
As3 0.5000 0.0000 0.0000
V1 0.0000 0.0000 0.0000


No. 7
Material: As2WI
Method: DFT, PBE
State: relaxed

Output
Uncorrected formation energy: 0.617 eV/atom
DOS at the Fermi energy: 7.60 states/eV/cell
SG: I-42d, No. 122

Unit cell a=6.7059 b=6.7059 c=7.3199 alpha=62.74 beta=62.74 gamma=90.00
Atoms (fractional coordinates):
As1 0.8750 0.9772 0.7500
As2 0.0228 0.6250 0.2500
As3 0.3750 0.2728 0.7500
As4 0.7272 0.1250 0.2500
I1 0.2500 0.7500 0.5000
I2 0.5000 0.5000 0.0000
W1 0.7500 0.2500 0.5000
W2 0.0000 0.0000 0.0000


No. 8
Material: As2WI
Method: DFT, PBE
State: relaxed

Output
Uncorrected formation energy: 1.122 eV/atom
DOS at the Fermi energy: 2.69 states/eV/cell
SG: Fm-3m, No. 225

Unit cell a=4.7831 b=4.7831 c=4.7831 alpha=60.00 beta=60.00 gamma=60.00
Atoms (fractional coordinates):
W1 0.5000 0.5000 0.5000
As1 0.7500 0.7500 0.7500
As2 0.2500 0.2500 0.2500
I1 0.0000 0.0000 0.0000


No. 9
Material: AsWI3
Method: DFT, PBE
State: relaxed

Output
Uncorrected formation energy: 1.388 eV/atom
DOS at the Fermi energy: 7.46 states/eV/cell
SG: Pm-3m, No. 221

Unit cell a=5.6852 b=5.6852 c=5.6852 alpha=90.00 beta=90.00 gamma=90.00
Atoms (fractional coordinates):
I1 0.0000 0.0000 0.5000
I2 0.0000 0.5000 0.0000
I3 0.5000 0.0000 0.0000
W1 0.5000 0.5000 0.5000
As1 0.0000 0.0000 0.0000


No. 10
Material: AsWI2
Method: DFT, PBE
State: relaxed

Output
Uncorrected formation energy: 0.455 eV/atom
DOS at the Fermi energy: 1.83 states/eV/cell
SG: I-42d, No. 122

Unit cell a=10.2271 b=10.2271 c=7.6283 alpha=47.91 beta=47.91 gamma=90.00
Atoms (fractional coordinates):
As1 0.2500 0.7500 0.5000
As2 0.5000 0.5000 0.0000
I1 0.7709 0.1250 0.2500
I2 0.8750 0.0209 0.7500
I3 0.9791 0.6250 0.2500
I4 0.3750 0.2291 0.7500
W1 0.0000 0.0000 0.0000
W2 0.7500 0.2500 0.5000


No. 11
Material: AsW2I
Method: DFT, PBE
State: relaxed

Output
Uncorrected formation energy: 0.996 eV/atom
DOS at the Fermi energy: 3.57 states/eV/cell
SG: Fm-3m, No. 225

Unit cell a=4.5967 b=4.5967 c=4.5967 alpha=60.00 beta=60.00 gamma=60.00
Atoms (fractional coordinates):
W1 0.7500 0.7500 0.7500
W2 0.2500 0.2500 0.2500
As1 0.0000 0.0000 0.0000
I1 0.5000 0.5000 0.5000


No. 12
Material: AsW2I
Method: DFT, PBE
State: relaxed

Output
Uncorrected formation energy: 1.566 eV/atom
DOS at the Fermi energy: 8.33 states/eV/cell
SG: I-42d, No. 122

Unit cell a=5.9938 b=5.9938 c=7.0973 alpha=65.02 beta=65.02 gamma=90.00
Atoms (fractional coordinates):
I1 0.7500 0.2500 0.5000
I2 0.0000 0.0000 0.0000
W1 0.1531 0.6250 0.2500
W2 0.8750 0.8469 0.7500
W3 0.5969 0.1250 0.2500
W4 0.3750 0.4031 0.7500
As1 0.2500 0.7500 0.5000
As2 0.5000 0.5000 0.0000